(1)
Density functional theory data (GGA-PBE) for a relaxed BeTcSe crystal.

Summary:
* uncorrected formation energy: 0.46 eV/atom
* offset from the most stable computed form: 0.417 eV/atom

Unit cell a=5.7266 b=5.7266 c=5.7266 alpha=90.00 beta=90.00 gamma=90.00
Last column: nearest neighbours and their distance in Å.
Space group F-43m (No. 216)
Symmetry-distinct sites (fractional):
Be 0.0000 0.0000 0.0000 [4 per cell]  4 Tc 2.48
Tc 0.2500 0.2500 0.7500 [4 per cell]  4 Se 2.48, 4 Be 2.48
Se 0.0000 0.0000 0.5000 [4 per cell]  4 Tc 2.48

=====

(2)
Density functional theory data (GGA-PBE) for a relaxed Sm2HoErMg crystal.

Summary:
* calculated formation energy: 0.18 eV per atom

Unit cell a=5.8799 b=7.5688 c=7.0815 alpha=90.00 beta=90.00 gamma=90.00
Last column: nearest neighbours and their distance in Å.
Space group Pmma (No. 51)
Symmetry-distinct sites (fractional):
Sm 0.2500 0.2125 0.1936 [4 per cell]  1 Ho 3.11, 1 Sm 3.22, 2 Mg 3.41
Ho 0.2500 0.5000 0.8792 [2 per cell]  2 Mg 3.06, 2 Sm 3.11, 2 Ho 3.40
Er 0.2500 0.0000 0.6543 [2 per cell]  6 Sm 3.52-3.64, 2 Er 3.66
Mg 0.0000 0.5000 0.5000 [2 per cell]  2 Mg 2.94, 2 Ho 3.06

=====

(3)
Density functional theory data (GGA-PBE) for a relaxed NaHoCdF6 crystal.

Summary:
* uncorrected formation energy: -3.19 eV/atom

Unit cell a=5.2167 b=5.2167 c=10.5952 alpha=90.00 beta=90.00 gamma=90.00
Last column: nearest neighbours and their distance in Å.
Space group P4_2nm (No. 102)
Symmetry-distinct sites (fractional):
Na 0.0000 0.0000 0.0000 [2 per cell]  6 F 2.31-2.38
Ho 0.0000 0.0000 0.3344 [2 per cell]  6 F 2.18-2.19
Cd 0.0000 0.0000 0.6681 [2 per cell]  6 F 2.25-2.30
F 0.1873 0.1873 0.4949 [4 per cell]  1 Ho 2.19, 1 Cd 2.30, 1 Na 2.31
F 0.1951 0.1951 0.1794 [4 per cell]  1 Ho 2.18, 1 Cd 2.25, 1 Na 2.38
F 0.2041 0.2041 0.8289 [4 per cell]  1 Ho 2.18, 1 Cd 2.27, 1 Na 2.36

=====

(4)
Density functional theory data (GGA-PBE) for a relaxed La2MnRh crystal.

Summary:
* calculated formation energy: 0.06 eV per atom
* offset from the most stable computed form: 0.309 eV/atom

Unit cell a=7.9865 b=7.9865 c=6.4281 alpha=90.00 beta=90.00 gamma=90.00
Last column: nearest neighbours and their distance in Å.
Space group I-42d (No. 122)
Symmetry-distinct sites (fractional):
La 0.2160 0.2500 0.1250 [8 per cell]  2 Rh 2.76
Mn 0.0000 0.0000 0.5000 [4 per cell]  4 La 3.13, 2 Rh 3.21
Rh 0.0000 0.0000 0.0000 [4 per cell]  4 La 2.76

=====

(5)
Density functional theory data (GGA-PBE) for a relaxed In2BiAu3 crystal.

Summary:
* calculated formation energy: -0.13 eV per atom

Unit cell a=5.6315 b=4.6253 c=11.2738 alpha=90.00 beta=90.00 gamma=90.00
Last column: nearest neighbours and their distance in Å.
Space group Pmma (No. 51)
Symmetry-distinct sites (fractional):
In 0.2500 0.0000 0.0897 [2 per cell]  6 Au 2.89
In 0.2500 0.5000 0.7730 [2 per cell]  6 Au 2.87-2.92
Bi 0.2500 0.5000 0.4256 [2 per cell]  4 Au 3.00, 2 Bi 3.28
Au 0.0000 0.5000 0.0000 [2 per cell]  2 Au 2.82, 6 In 2.89-2.92
Au 0.0029 0.0000 0.6873 [4 per cell]  2 Au 2.78-2.85, 3 In 2.87-2.89, 2 Bi 3.00

=====

(6)
Density functional theory data (GGA-PBE) for a relaxed Ac4PmTl crystal.

Summary:
* calculated formation energy: 0.40 eV per atom
* offset from the most stable computed form: 0.485 eV/atom

Unit cell a=10.2807 b=10.2807 c=10.9018 alpha=90.00 beta=90.00 gamma=90.00
Last column: nearest neighbours and their distance in Å.
Space group I4_1md (No. 109)
Symmetry-distinct sites (fractional):
Ac 0.0000 0.3066 0.0000 [8 per cell]  2 Pm 3.15-3.29, 1 Tl 3.37
Ac 0.0000 0.3138 0.5000 [8 per cell]  2 Tl 3.23-3.33, 1 Pm 3.42
Pm 0.0000 0.0000 0.9901 [4 per cell]  6 Ac 3.15-3.42
Tl 0.0000 0.0000 0.5005 [4 per cell]  6 Ac 3.23-3.37

=====

(7)
Density functional theory data (GGA-PBE) for a relaxed CsGa2SiCl crystal.

Summary:
* uncorrected formation energy: -0.29 eV/atom

Unit cell a=4.8113 b=4.8113 c=8.3012 alpha=90.00 beta=90.00 gamma=90.00
Last column: nearest neighbours and their distance in Å.
Space group P4/mmm (No. 123)
Symmetry-distinct sites (fractional):
Cs 0.0000 0.0000 0.0000 [1 per cell]  4 Cl 3.40
Ga 0.0000 0.5000 0.5000 [2 per cell]  2 Si 2.41
Si 0.0000 0.0000 0.5000 [1 per cell]  4 Ga 2.41
Cl 0.5000 0.5000 0.0000 [1 per cell]  4 Cs 3.40

=====

(8)
Density functional theory data (GGA-PBE) for a relaxed RbTaCd crystal.

Summary:
* calculated formation energy: 1.26 eV per atom
* offset from the most stable computed form: 0.868 eV/atom

Unit cell a=5.3847 b=5.3847 c=7.7205 alpha=90.00 beta=90.00 gamma=90.00
Last column: nearest neighbours and their distance in Å.
Space group P4/nmm (No. 129, origin choice 2)
Symmetry-distinct sites (fractional):
Rb 0.2500 0.2500 0.1286 [2 per cell]  1 Ta 3.50
Ta 0.2500 0.2500 0.5814 [2 per cell]  4 Cd 2.76
Cd 0.2500 0.7500 0.5000 [2 per cell]  4 Ta 2.76

=====

(9)
Density functional theory data (GGA-PBE) for a relaxed ZrHgP2 crystal.

Summary:
* calculated formation energy: -0.47 eV per atom

Unit cell a=3.5566 b=3.5355 c=6.4226 alpha=90.00 beta=90.20 gamma=90.00
Last column: nearest neighbours and their distance in Å.
Space group P2/m (No. 10)
Symmetry-distinct sites (fractional):
Zr 0.0000 0.0000 0.0000 [1 per cell]  8 P 2.75-2.76
Hg 0.0000 0.0000 0.5000 [1 per cell]  2 Zr 3.21, 8 P 3.25-3.26, 4 Hg 3.54-3.56
P 0.5004 0.5000 0.1778 [2 per cell]  1 P 2.28

=====

(10)
Density functional theory data (GGA-PBE) for a relaxed KNbCoS3 crystal.

Summary:
* uncorrected formation energy: -0.98 eV/atom

Unit cell a=8.5211 b=3.5275 c=9.1564 alpha=90.00 beta=114.39 gamma=90.00
Last column: nearest neighbours and their distance in Å.
Space group P2_1/m (No. 11)
Symmetry-distinct sites (fractional):
K 0.2329 0.2500 0.2514 [2 per cell]  7 S 3.14-3.30
Nb 0.3009 0.7500 0.8300 [2 per cell]  6 S 2.43-2.62
Co 0.0859 0.2500 0.6056 [2 per cell]  4 S 2.24-2.29
S 0.1112 0.2500 0.8590 [2 per cell]  1 Co 2.24, 2 Nb 2.48
S 0.2069 0.7500 0.5409 [2 per cell]  3 Co 2.24-2.29, 1 Nb 2.43
S 0.4695 0.7500 0.1422 [2 per cell]  3 Nb 2.57-2.62

=====

(11)
Density functional theory data (GGA-PBE) for a relaxed TlCuO2 crystal.

Summary:
* uncorrected formation energy: -0.58 eV/atom
* offset from the most stable computed form: 0.014 eV/atom

Unit cell a=3.5391 b=3.5391 c=17.6851 alpha=90.00 beta=90.00 gamma=120.00
Last column: nearest neighbours and their distance in Å.
Space group R-3m (No. 166, hexagonal axes)
Symmetry-distinct sites (fractional):
Tl 0.0000 0.0000 0.0000 [3 per cell]  6 O 2.33
Cu 0.0000 0.0000 0.5000 [3 per cell]  2 O 1.82
O 0.0000 0.0000 0.3971 [6 per cell]  1 Cu 1.82

=====

(12)
Density functional theory data (GGA-PBE) for a relaxed Cu2SiAu crystal.

Summary:
* uncorrected formation energy: -0.01 eV/atom

Unit cell a=7.0658 b=7.2386 c=4.5388 alpha=90.00 beta=90.00 gamma=90.00
Last column: nearest neighbours and their distance in Å.
Space group Pnma (No. 62)
Symmetry-distinct sites (fractional):
Cu 0.1644 0.0640 0.0895 [8 per cell]  3 Si 2.41-2.53, 2 Cu 2.63-2.69
Si 0.1387 0.7500 0.9190 [4 per cell]  6 Cu 2.41-2.53, 3 Au 2.49-2.57
Au 0.0144 0.2500 0.5870 [4 per cell]  3 Si 2.49-2.57